## LaCeInPd (PBE-GGA)

Data for an optimized crystal structure of LaCeInPd.

## Properties
VASP energy (eV/cell): -20.200
Spin magnetization (μB per formula unit): 1.95
E_form (kcal/mol of atoms): -8.11
Symmetry: F-43m, No. 216
DOS(E_F) (states/eV/f.u.): 7.8

Lattice parameters (Å, degrees): 5.159 5.159 5.159 60.00 60.00 60.00
Atoms (fractional coordinates):
Ce: 0.500 0.500 0.500
Pd: 0.000 0.000 0.000
La: 0.250 0.250 0.250
In: 0.750 0.750 0.750